Record 1
DFT (PBE) results for Na2TmPCO7 after structural relaxation.

Properties
raw formation energy	-2374	meV/atom
Fermi-level density of states	0.00	states/eV/atom
raw total energy	-7.08	eV per atom

Unit cell a=5.2806 b=6.9281 c=9.3349 alpha=90.00 beta=90.25 gamma=90.00
Closest atoms and distances in Å follow each position.
Space group P2_1/m (No. 11)
One atom of each set of equivalent atoms:
1 Na 0.2478 0.0040 0.2106 [4 per cell]  3 O 2.27-2.40
2 Tm 0.2098 0.2500 0.6286 [2 per cell]  6 O 2.21-2.32
3 P 0.2944 0.7500 0.5789 [2 per cell]  4 O 1.54-1.57
4 C 0.2569 0.2500 0.9181 [2 per cell]  3 O 1.26-1.33
5 O 0.0335 0.2500 0.8556 [2 per cell]  1 C 1.31
6 O 0.1904 0.5667 0.6520 [4 per cell]  1 P 1.54
7 O 0.2094 0.7500 0.4173 [2 per cell]  1 P 1.57
8 O 0.2886 0.2500 0.0520 [2 per cell]  1 C 1.26
9 O 0.4095 0.2500 0.4171 [2 per cell]  1 P 1.56
10 O 0.4500 0.2500 0.8272 [2 per cell]  1 C 1.33

Record 2
DFT (PBE) results for Hg2BiAs after structural relaxation.

Properties
ΔE_f	0.273	eV per atom
Fermi-level density of states	0.52	states/eV/atom
raw total energy	-2.01	eV per atom

Unit cell a=6.5322 b=6.5322 c=12.5389 alpha=90.00 beta=90.00 gamma=90.00
Closest atoms and distances in Å follow each position.
Space group I-42d (No. 122)
One atom of each set of equivalent atoms:
1 Hg 0.2083 0.2500 0.1250 [8 per cell]  2 As 2.64
2 Bi 0.0000 0.0000 0.5000 [4 per cell]  4 Hg 2.96
3 As 0.0000 0.0000 0.0000 [4 per cell]  4 Hg 2.64

Record 3
DFT (PBE) results for Tl5Sn4Au2 after structural relaxation.

Properties
ΔE_f	-0.027	eV per atom
Fermi-level density of states	0.38	states/eV/atom
raw total energy	-3.15	eV per atom

Unit cell a=8.2475 b=3.5839 c=10.6315 alpha=90.00 beta=96.14 gamma=90.00
Closest atoms and distances in Å follow each position.
Space group P2/m (No. 10)
One atom of each set of equivalent atoms:
1 Tl 0.0000 0.0000 0.0000 [1 per cell]  6 Tl 3.38-3.58, 4 Sn 3.45
2 Tl 0.0207 0.0000 0.3337 [2 per cell]  1 Au 3.14, 2 Sn 3.47
3 Tl 0.3555 0.0000 0.8684 [2 per cell]  6 Sn 3.37-3.73, 5 Tl 3.38-3.58, 1 Au 3.42
4 Sn 0.3075 0.5000 0.5750 [2 per cell]  4 Au 2.96-2.98
5 Sn 0.3077 0.5000 0.1694 [2 per cell]  2 Au 2.87
6 Au 0.4037 0.0000 0.3743 [2 per cell]  6 Sn 2.87-2.98, 1 Au 2.96, 1 Tl 3.14